# 1
UTl3Sb2Se6: optimized geometry, PBE-GGA.

Cell: 7.326 7.326 8.116 Å, 98.64 98.64 120.00°
Positions (direct):
1 U 0.000 0.000 0.000
2 Se 0.737 0.737 0.206
3 Se 0.068 0.400 0.206
4 Se 0.600 0.932 0.794
5 Se 0.932 0.600 0.794
6 Se 0.400 0.068 0.206
7 Se 0.263 0.263 0.794
8 Tl 0.834 0.166 0.500
9 Tl 0.500 0.500 0.500
10 Tl 0.166 0.834 0.500
11 Sb 0.333 0.667 0.000
12 Sb 0.667 0.333 0.000

Computed properties:
Formation energy from raw total energies   -12.09 kcal/mol of atoms
Calculated total energy   -4.49 eV per atom
Space group   C2/m

# 2
TlVSbSe2: optimized geometry, PBE-GGA.

Cell: 5.420 5.561 5.420 Å, 90.00 90.00 90.00°
Positions (direct):
1 Se 0.500 0.000 0.000
2 Se 0.000 0.000 0.500
3 V 0.500 0.500 0.500
4 Tl 0.000 0.500 0.000
5 Sb 0.000 0.000 0.000

Computed properties:
Formation energy from raw total energies   24.73 kcal/mol of atoms
Calculated total energy   -3.44 eV per atom
Space group   P4/mmm

# 3
Tl3VSb3Se8: optimized geometry, PBE-GGA.

Cell: 8.138 8.139 9.040 Å, 116.73 89.98 120.02°
Positions (direct):
1 Sb 0.000 0.500 0.500
2 Sb 0.500 0.000 0.500
3 Sb 0.500 0.500 0.500
4 Se 0.761 0.976 0.690
5 Se 0.786 0.024 0.310
6 Se 0.738 0.476 0.714
7 Se 0.239 0.024 0.310
8 Se 0.214 0.429 0.690
9 Se 0.214 0.976 0.690
10 Se 0.786 0.571 0.310
11 Se 0.262 0.524 0.286
12 Tl 0.000 0.500 0.000
13 Tl 0.500 0.500 0.000
14 Tl 0.000 0.000 0.000
15 V 0.000 0.000 0.500

Computed properties:
Formation energy from raw total energies   -9.26 kcal/mol of atoms
Calculated total energy   -4.17 eV per atom
Space group   R-3m

# 4
Y3Tl4SbSe8: optimized geometry, PBE-GGA.

Cell: 8.407 9.131 8.408 Å, 117.45 120.00 90.00°
Positions (direct):
1 Se 0.764 0.295 0.030
2 Se 0.734 0.705 0.970
3 Se 0.735 0.705 0.470
4 Se 0.266 0.295 0.030
5 Se 0.265 0.295 0.530
6 Se 0.764 0.295 0.529
7 Se 0.236 0.705 0.970
8 Se 0.236 0.705 0.471
9 Tl 0.500 0.000 0.000
10 Tl 0.500 0.000 0.500
11 Tl 0.000 0.000 0.000
12 Tl 0.000 0.000 0.500
13 Y 0.000 0.500 0.500
14 Y 0.500 0.500 0.000
15 Y 0.500 0.500 0.500
16 Sb 0.000 0.500 0.000

Computed properties:
Formation energy from raw total energies   -26.18 kcal/mol of atoms
Calculated total energy   -4.94 eV per atom
Space group   R-3m

Q: What is the formula in the third record?
A: Tl3VSb3Se8

Q: Number 3 is which compound?
A: Tl3VSb3Se8

Q: calculated total energy of number 4 (Y3Tl4SbSe8)?
A: -4.94 eV per atom